Below is a geometry-optimized PuCu2PtO6 structure, with properties calculated at the PBE level.

It has space group R-3 (No. 148, hexagonal axes), with a = 5.3203 Å, b = 5.3203 Å, c = 14.6734 Å, α = 90.00°, β = 90.00° and γ = 120.00°. Symmetry generates all atoms from Pu at (0.0000, 0.0000, 0.0000), Cu at (0.0000, 0.0000, 0.2507), Pt at (0.0000, 0.0000, 0.5000) and O at (0.0103, 0.6440, 0.2474).

For the energy relative to the elements, uncorrected, the calculation gives -12.378 eV per formula unit. For the density of states at the Fermi level, the calculation gives 0.50 states/eV per atom.